[1]
Ta3Hg2 | PBE | optimized geometry

Output
ΔE_f ... 0.67 eV per atom
Crystal system ... tetragonal

Cell and atoms, written as extended XYZ:
```
10
Lattice="7.344 0.000 0.000 0.000 7.344 0.000 0.000 0.000 3.613" Properties=species:S:1:pos:R:3 pbc="T T T"
Ta 0.000 0.000 0.000
Ta 1.257 2.415 1.806
Ta 2.415 6.087 1.806
Ta 3.672 3.672 0.000
Ta 4.929 1.257 1.806
Ta 6.087 4.929 1.806
Hg 0.974 4.646 0.000
Hg 2.697 0.974 0.000
Hg 4.646 6.369 0.000
Hg 6.369 2.697 0.000
```



[2]
TaTc2Hg | PBE | optimized geometry

Output
ΔE_f ... 0.53 eV per atom
Crystal system ... cubic

Cell and atoms, written as extended XYZ:
```
16
Lattice="6.453 0.000 0.000 0.000 6.453 0.000 0.000 0.000 6.453" Properties=species:S:1:pos:R:3 pbc="T T T"
Ta 0.000 0.000 0.000
Ta 0.000 3.226 3.226
Ta 3.226 0.000 3.226
Ta 3.226 3.226 0.000
Tc 0.000 0.000 3.226
Tc 0.000 3.226 0.000
Tc 1.613 1.613 4.840
Tc 1.613 4.840 1.613
Tc 3.226 0.000 0.000
Tc 3.226 3.226 3.226
Tc 4.840 1.613 1.613
Tc 4.840 4.840 4.840
Hg 1.613 1.613 1.613
Hg 1.613 4.840 4.840
Hg 4.840 1.613 4.840
Hg 4.840 4.840 1.613
```



[3]
TaHgTe | PBE | optimized geometry

Output
Crystal system ... cubic
Total energy ... -50.3 eV per cell

Cell and atoms, written as extended XYZ:
```
12
Lattice="6.703 0.000 0.000 0.000 6.703 0.000 0.000 0.000 6.703" Properties=species:S:1:pos:R:3 pbc="T T T"
Ta 0.000 0.000 0.000
Ta 0.000 3.351 3.351
Ta 3.351 0.000 3.351
Ta 3.351 3.351 0.000
Hg 0.000 0.000 3.351
Hg 0.000 3.351 0.000
Hg 3.351 0.000 0.000
Hg 3.351 3.351 3.351
Te 1.676 1.676 5.027
Te 1.676 5.027 1.676
Te 5.027 1.676 1.676
Te 5.027 5.027 5.027
```



[4]
TaTl2Hg | PBE | optimized geometry

Output
Crystal system ... cubic
Total energy ... -53.4 eV per cell

Cell and atoms, written as extended XYZ:
```
16
Lattice="7.247 0.000 0.000 0.000 7.247 0.000 0.000 0.000 7.247" Properties=species:S:1:pos:R:3 pbc="T T T"
Ta 0.000 0.000 0.000
Ta 0.000 3.623 3.623
Ta 3.623 0.000 3.623
Ta 3.623 3.623 0.000
Tl 0.000 0.000 3.623
Tl 0.000 3.623 0.000
Tl 1.812 1.812 5.435
Tl 1.812 5.435 1.812
Tl 3.623 0.000 0.000
Tl 3.623 3.623 3.623
Tl 5.435 1.812 1.812
Tl 5.435 5.435 5.435
Hg 1.812 1.812 1.812
Hg 1.812 5.435 5.435
Hg 5.435 1.812 5.435
Hg 5.435 5.435 1.812
```



[5]
Ta4TlHg2 | PBE | optimized geometry

Output
Crystal system ... orthorhombic
Total energy ... -95.0 eV per cell

Cell and atoms, written as extended XYZ:
```
14
Lattice="8.279 0.000 0.000 0.000 11.741 0.000 0.000 0.000 3.280" Properties=species:S:1:pos:R:3 pbc="T T T"
Ta 0.000 1.567 0.000
Ta 0.000 10.174 0.000
Ta 1.531 0.000 1.640
Ta 2.608 5.871 1.640
Ta 4.140 4.303 0.000
Ta 4.140 7.438 0.000
Ta 5.671 5.871 1.640
Ta 6.748 0.000 1.640
Tl 0.000 5.871 0.000
Tl 4.140 0.000 0.000
Hg 2.070 2.935 1.640
Hg 2.070 8.806 1.640
Hg 6.209 2.935 1.640
Hg 6.209 8.806 1.640
```



[6]
TmTaHg | PBE | optimized geometry

Output
ΔE_f ... 1.16 eV per atom
Crystal system ... cubic

Cell and atoms, written as extended XYZ:
```
12
Lattice="6.852 0.000 0.000 0.000 6.852 0.000 0.000 0.000 6.852" Properties=species:S:1:pos:R:3 pbc="T T T"
Tm 0.000 0.000 0.000
Tm 0.000 3.426 3.426
Tm 3.426 0.000 3.426
Tm 3.426 3.426 0.000
Ta 1.713 1.713 1.713
Ta 1.713 5.139 5.139
Ta 5.139 1.713 5.139
Ta 5.139 5.139 1.713
Hg 1.713 1.713 5.139
Hg 1.713 5.139 1.713
Hg 5.139 1.713 1.713
Hg 5.139 5.139 5.139
```



[7]
UTaHg | PBE | optimized geometry

Output
ΔE_f ... 1.40 eV per atom
Crystal system ... cubic

Cell and atoms, written as extended XYZ:
```
12
Lattice="6.733 0.000 0.000 0.000 6.733 0.000 0.000 0.000 6.733" Properties=species:S:1:pos:R:3 pbc="T T T"
U 0.000 0.000 0.000
U 0.000 3.366 3.366
U 3.366 0.000 3.366
U 3.366 3.366 0.000
Ta 1.683 1.683 1.683
Ta 1.683 5.049 5.049
Ta 5.049 1.683 5.049
Ta 5.049 5.049 1.683
Hg 1.683 1.683 5.049
Hg 1.683 5.049 1.683
Hg 5.049 1.683 1.683
Hg 5.049 5.049 5.049
```



[8]
UTaHg | PBE | optimized geometry

Output
ΔE_f ... 1.08 eV per atom
Crystal system ... cubic

Cell and atoms, written as extended XYZ:
```
12
Lattice="6.637 0.000 0.000 0.000 6.637 0.000 0.000 0.000 6.637" Properties=species:S:1:pos:R:3 pbc="T T T"
U 0.000 0.000 0.000
U 0.000 3.319 3.319
U 3.319 0.000 3.319
U 3.319 3.319 0.000
Ta 1.659 1.659 1.659
Ta 1.659 4.978 4.978
Ta 4.978 1.659 4.978
Ta 4.978 4.978 1.659
Hg 0.000 0.000 3.319
Hg 0.000 3.319 0.000
Hg 3.319 0.000 0.000
Hg 3.319 3.319 3.319
```



[9]
TaZn2Hg | PBE | optimized geometry

Output
ΔE_f ... 0.51 eV per atom
Crystal system ... cubic

Cell and atoms, written as extended XYZ:
```
16
Lattice="6.539 0.000 0.000 0.000 6.539 0.000 0.000 0.000 6.539" Properties=species:S:1:pos:R:3 pbc="T T T"
Ta 0.000 0.000 0.000
Ta 0.000 3.270 3.270
Ta 3.270 0.000 3.270
Ta 3.270 3.270 0.000
Zn 0.000 0.000 3.270
Zn 0.000 3.270 0.000
Zn 1.635 1.635 4.904
Zn 1.635 4.904 1.635
Zn 3.270 0.000 0.000
Zn 3.270 3.270 3.270
Zn 4.904 1.635 1.635
Zn 4.904 4.904 4.904
Hg 1.635 1.635 1.635
Hg 1.635 4.904 4.904
Hg 4.904 1.635 4.904
Hg 4.904 4.904 1.635
```



[10]
TbTlHgTe3 | PBE | optimized geometry

Output
Crystal system ... monoclinic
Total energy ... -41.3 eV per cell

Cell and atoms, written as extended XYZ:
```
12
Lattice="9.796 -2.203 0.000 9.796 2.203 0.000 -2.057 0.000 9.323" Properties=species:S:1:pos:R:3 pbc="T T T"
Tb 3.237 0.000 0.823
Tb 14.297 0.000 8.499
Tl 1.417 0.000 5.385
Tl 16.117 0.000 3.938
Hg 7.461 0.000 7.250
Hg 10.074 0.000 2.073
Te 0.000 0.000 0.000
Te 4.735 0.000 6.322
Te 6.244 0.000 1.279
Te 8.767 0.000 4.661
Te 11.291 0.000 8.044
Te 12.799 0.000 3.001
```



[11]
TbTlHgTe3 | PBE | optimized geometry

Output
Crystal system ... monoclinic
Total energy ... -41.9 eV per cell

Cell and atoms, written as extended XYZ:
```
12
Lattice="8.741 0.000 0.000 0.000 4.441 0.000 -3.328 0.000 10.554" Properties=species:S:1:pos:R:3 pbc="T T T"
Tb 1.183 1.110 1.498
Tb 4.230 3.331 9.056
Tl -0.259 3.331 7.519
Tl 5.672 1.110 3.035
Hg 2.375 3.331 4.024
Hg 3.039 1.110 6.530
Te -2.355 1.110 9.017
Te 0.627 1.110 4.687
Te 3.387 3.331 1.407
Te 2.026 1.110 9.148
Te 4.786 3.331 5.867
Te 7.768 3.331 1.537
```



[12]
TbTlHgTe3 | PBE | optimized geometry

Output
Crystal system ... orthorhombic
Total energy ... -42.1 eV per cell

Cell and atoms, written as extended XYZ:
```
12
Lattice="2.216 -7.726 0.000 2.216 7.726 0.000 0.000 0.000 11.621" Properties=species:S:1:pos:R:3 pbc="T T T"
Tb 0.000 0.000 0.000
Tb 0.000 0.000 5.810
Tl 2.216 4.028 8.716
Tl 2.216 -4.028 2.905
Hg 2.216 0.596 2.905
Hg 2.216 -0.596 8.716
Te 2.216 6.451 2.905
Te 2.216 2.147 0.546
Te 2.216 2.147 5.264
Te 2.216 -2.147 6.357
Te 2.216 -2.147 11.075
Te 2.216 -6.451 8.716
```



Computed M_tot (μB/f.u.) in order:
0.00; 0.02; 0.03; 2.14; 0.01; 2.63; 0.02; 0.05; 0.61; 0.01; 0.00; 0.00